Ac2HoSb3Pt4, relaxed, DFT PBE; crystal system = tetragonal; E_form (uncorrected) = -997 meV/atom; calculated density = 11.9 Mg/m³; space group = P-4m2 (115); DOS at the Fermi energy = 3.6 states/eV per cell
1.0
4.655 0.000 0.000
0.000 4.655 0.000
0.000 0.000 11.340
Sb Pt Ac Ho
3 4 2 1
direct
0.000 0.000 0.500
0.500 0.000 0.874
0.000 0.500 0.126
0.000 0.000 0.000
0.500 0.000 0.641
0.000 0.500 0.359
0.500 0.500 0.000
0.500 0.000 0.223
0.000 0.500 0.777
0.500 0.500 0.500

=====

CeMgHgSb, relaxed, DFT PBE; crystal system = cubic; E_form (uncorrected) = -439 meV/atom; calculated density = 7.9 Mg/m³; space group = F-43m (216); DOS at the Fermi energy = 6.5 states/eV per cell; energy above the most stable polymorph in this dataset = 2.107 kcal/mol of atoms
1.0
5.256 0.000 0.000
2.628 4.551 0.000
2.628 1.517 4.291
Sb Hg Mg Ce
1 1 1 1
direct
0.000 0.000 0.000
0.500 0.500 0.500
0.750 0.750 0.750
0.250 0.250 0.250

=====

Tb6In6Hg, relaxed, DFT PBE; crystal system = hexagonal; DFT formation energy = -0.31 eV per atom; calculated density = 8.3 Mg/m³; space group = P6/mmm (191); DOS at the Fermi energy = 11.3 states/eV per cell
1.0
6.357 0.000 0.000
-3.178 5.505 0.000
0.000 0.000 10.597
Tb In Hg
6 6 1
direct
0.000 0.000 0.311
0.000 0.000 0.689
0.333 0.667 0.000
0.667 0.333 0.500
0.333 0.667 0.500
0.667 0.333 0.000
0.000 0.500 0.750
0.500 0.500 0.750
0.000 0.500 0.250
0.500 0.000 0.250
0.500 0.500 0.250
0.500 0.000 0.750
0.000 0.000 0.000

=====

Li4Cu3BiP4O16, relaxed, DFT PBE; crystal system = monoclinic; E_form (uncorrected) = -1843 meV/atom; calculated density = 4.2 Mg/m³; space group = Pm (6); DOS at the Fermi energy = 4.5 states/eV per cell
1.0
4.858 0.003 0.000
0.507 10.378 0.000
0.000 0.000 6.365
O Cu P Li Bi
16 3 4 4 1
direct
0.289 0.156 0.443
0.250 0.892 0.750
0.298 0.944 0.250
0.785 0.611 0.250
0.735 0.360 0.552
0.227 0.670 0.449
0.736 0.074 0.250
0.227 0.670 0.051
0.735 0.360 0.948
0.661 0.042 0.750
0.228 0.464 0.250
0.289 0.156 0.057
0.707 0.833 0.553
0.823 0.559 0.750
0.196 0.370 0.750
0.707 0.833 0.947
0.572 0.793 0.250
0.069 0.710 0.750
0.408 0.198 0.750
0.570 0.899 0.750
0.419 0.079 0.250
0.107 0.607 0.250
0.889 0.410 0.750
0.002 0.964 0.002
0.556 0.546 0.005
0.556 0.546 0.495
0.002 0.964 0.498
0.961 0.290 0.250

=====

Sr2BeCl, relaxed, DFT PBE; crystal system = cubic; E_form (uncorrected) = 259 meV/atom; calculated density = 3.0 Mg/m³; space group = F-43m (216); DOS at the Fermi energy = 4.8 states/eV per cell; energy above the most stable polymorph in this dataset = 19.348 kcal/mol of atoms
1.0
-3.639 -1.048 -4.108
1.816 -0.644 -5.244
-0.126 -5.043 -2.401
Cl Be Sr
1 1 2
direct
0.750 0.750 0.750
0.500 0.500 0.500
0.250 0.250 0.250
0.000 0.000 0.000

=====

TaTlBi3, relaxed, DFT PBE; crystal system = cubic; DFT formation energy = 0.40 eV per atom; calculated density = 9.7 Mg/m³; space group = Pm-3m (221); DOS at the Fermi energy = 3.9 states/eV per cell; energy above the most stable polymorph in this dataset = 0.000 kcal/mol of atoms
1.0
5.571 0.000 0.000
0.000 5.571 0.000
0.000 0.000 5.571
Bi Ta Tl
3 1 1
direct
0.500 0.000 0.000
0.000 0.000 0.500
0.000 0.500 0.000
0.000 0.000 0.000
0.500 0.500 0.500

=====

Ba3NdTa2O9, relaxed, DFT PBE; crystal system = trigonal; E_form (uncorrected) = -2982 meV/atom; calculated density = 7.5 Mg/m³; space group = P-3m1 (164); DOS at the Fermi energy = 3.4 states/eV per cell
1.0
6.023 0.000 0.000
-3.011 5.216 0.000
0.000 0.000 7.473
O Ba Nd Ta
9 3 1 2
direct
0.178 0.355 0.310
0.000 0.500 0.000
0.355 0.178 0.690
0.178 0.822 0.310
0.500 0.000 0.000
0.822 0.178 0.690
0.500 0.500 0.000
0.822 0.645 0.690
0.645 0.822 0.310
0.333 0.667 0.677
0.667 0.333 0.323
0.000 0.000 0.000
0.000 0.000 0.500
0.667 0.333 0.840
0.333 0.667 0.160

=====

SrMgTc2, relaxed, DFT PBE; crystal system = monoclinic; DFT formation energy = 0.83 eV per atom; calculated density = 6.7 Mg/m³; space group = C2/m (12); DOS at the Fermi energy = 3.7 states/eV per cell
1.0
5.679 -0.009 -0.034
-2.535 5.119 0.022
0.609 0.716 2.615
Tc Mg Sr
2 1 1
direct
0.000 0.000 0.000
0.500 0.000 0.500
0.000 0.500 0.500
0.500 0.500 0.000

=====

Pu2Ge6PdRu, relaxed, DFT PBE; crystal system = trigonal; DFT formation energy = -0.25 eV per atom; calculated density = 9.1 Mg/m³; space group = R-3m (166); DOS at the Fermi energy = 29.0 states/eV per cell
1.0
6.082 0.000 0.000
3.041 5.267 0.000
3.041 1.756 12.939
Ge Pd Ru Pu
12 2 2 4
direct
0.804 0.231 0.161
0.343 0.930 0.384
0.343 0.343 0.384
0.930 0.343 0.384
0.657 0.070 0.616
0.769 0.196 0.839
0.231 0.804 0.161
0.070 0.657 0.616
0.804 0.804 0.161
0.657 0.657 0.616
0.196 0.196 0.839
0.196 0.769 0.839
0.000 0.000 0.000
0.500 0.500 0.500
0.424 0.424 0.727
0.576 0.576 0.273
0.722 0.722 0.833
0.278 0.278 0.167
0.127 0.127 0.619
0.873 0.873 0.381

=====

CaHF6, relaxed, DFT PBE; crystal system = triclinic; calculated density = 1.9 Mg/m³; space group = P-1 (2); energy = -3.831 eV/atom
1.0
5.759 0.377 1.106
2.934 7.347 0.136
0.097 -1.711 3.400
F Ca H
6 1 1
direct
0.471 0.320 0.859
0.529 0.680 0.141
0.851 0.577 0.702
0.119 0.824 0.728
0.881 0.176 0.272
0.149 0.423 0.298
0.500 0.500 0.500
0.000 0.000 0.000

=====

Co2TcPt, relaxed, DFT PBE; crystal system = tetragonal; DFT formation energy = 0.00 eV per atom; calculated density = 13.2 Mg/m³; space group = P4/mmm (123); DOS at the Fermi energy = 4.5 states/eV per cell; energy above the most stable polymorph in this dataset = 0.232 kcal/mol of atoms
1.0
2.649 -0.002 0.000
0.002 2.649 0.000
0.000 0.000 7.367
Co Pt Tc
2 1 1
direct
0.000 0.000 0.994
0.000 0.000 0.506
0.500 0.500 0.250
0.500 0.500 0.750

=====

Tl3HgPb, relaxed, DFT PBE; crystal system = trigonal; DFT formation energy = 0.07 eV per atom; calculated density = 10.1 Mg/m³; space group = R-3 (148); DOS at the Fermi energy = 5.6 states/eV per cell; energy above the most stable polymorph in this dataset = 0.000 kcal/mol of atoms
1.0
-0.857 -3.572 -4.602
-1.307 -5.674 0.880
-11.586 -0.568 -1.170
Tl Pb Hg
6 2 2
direct
0.752 0.092 0.743
0.248 0.908 0.257
0.587 0.248 0.257
0.908 0.587 0.257
0.092 0.413 0.743
0.413 0.752 0.743
0.668 0.668 0.995
0.332 0.332 0.005
0.168 0.168 0.497
0.832 0.832 0.503